First-principles (GGA-PBE) data for a relaxed structure of Cd2InOs, as listed in Alexandria via LeMat-Bulk.

Calculated values
- DFT formation energy (eV/atom) = 0.482
- energy (eV per atom) = -3.47
- symmetry = No. 35

Unit cell a=2.917 b=2.917 c=11.201 alpha=90.00 beta=90.00 gamma=119.86
Sites, in units of the cell vectors:
Os1 0.500 0.500 0.751
Cd1 0.500 0.500 0.243
In1 0.000 0.000 0.535
Cd2 0.000 0.000 0.970